No. 1
Material: SrHfMg14
Method: DFT, GGA-PBE
State: relaxed

a = 6.791 Å, b = 6.791 Å, c = 8.322 Å
α = 90.00°, β = 90.00°, γ = 90.11°
Positions (direct):
Sr 0.000 0.000 0.000
Hf 0.500 0.500 0.000
Mg 0.000 0.000 0.500
Mg 0.000 0.500 0.000
Mg 0.000 0.500 0.500
Mg 0.264 0.264 0.260
Mg 0.264 0.264 0.740
Mg 0.264 0.736 0.259
Mg 0.264 0.736 0.741
Mg 0.500 0.000 0.000
Mg 0.500 0.000 0.500
Mg 0.500 0.500 0.500
Mg 0.736 0.264 0.259
Mg 0.736 0.264 0.741
Mg 0.736 0.736 0.260
Mg 0.736 0.736 0.740

Output
The space group is Cmmm, No. 65. The polymorph energy (0 for the lowest one) comes out at 0 meV/atom.

---

No. 2
Material: Sr2HfMg
Method: DFT, GGA-PBE
State: relaxed

a = 7.287 Å, b = 7.287 Å, c = 7.287 Å
α = 102.47°, β = 102.47°, γ = 124.61°
Positions (direct):
Sr 0.109 0.625 0.984
Sr 0.375 0.359 0.484
Sr 0.641 0.125 0.016
Sr 0.875 0.891 0.516
Hf 0.250 0.750 0.500
Hf 0.500 0.500 0.000
Mg 0.000 0.000 0.000
Mg 0.750 0.250 0.500

Output
The space group is I-42d, No. 122.

---

No. 3
Material: SrHfMg3
Method: DFT, GGA-PBE
State: relaxed

a = 5.602 Å, b = 5.602 Å, c = 5.602 Å
α = 90.00°, β = 90.00°, γ = 90.00°
Positions (direct):
Sr 0.000 0.000 0.000
Hf 0.500 0.500 0.500
Mg 0.000 0.500 0.500
Mg 0.500 0.000 0.500
Mg 0.500 0.500 0.000

Output
The space group is Pm-3m, No. 221. The polymorph energy (0 for the lowest one) comes out at 0 meV/atom.

---

No. 4
Material: Sr3HfMg
Method: DFT, GGA-PBE
State: relaxed

a = 6.193 Å, b = 6.193 Å, c = 6.193 Å
α = 90.00°, β = 90.00°, γ = 90.00°
Positions (direct):
Sr 0.000 0.000 0.500
Sr 0.000 0.500 0.000
Sr 0.500 0.000 0.000
Hf 0.000 0.000 0.000
Mg 0.500 0.500 0.500

Output
The space group is Pm-3m, No. 221. The polymorph energy (0 for the lowest one) comes out at 0 meV/atom.

---

No. 5
Material: SrHf2Mg
Method: DFT, GGA-PBE
State: relaxed

a = 11.954 Å, b = 11.954 Å, c = 11.954 Å
α = 158.94°, β = 158.94°, γ = 29.95°
Positions (direct):
Sr 0.000 0.000 0.000
Sr 0.750 0.250 0.500
Hf 0.140 0.625 0.015
Hf 0.375 0.390 0.515
Hf 0.610 0.125 0.985
Hf 0.875 0.860 0.485
Mg 0.250 0.750 0.500
Mg 0.500 0.500 0.000

Output
The space group is I-42d, No. 122.

---

No. 6
Material: Sr3HfMg
Method: DFT, GGA-PBE
State: relaxed

a = 6.181 Å, b = 6.181 Å, c = 6.181 Å
α = 90.00°, β = 90.00°, γ = 90.00°
Positions (direct):
Sr 0.000 0.000 0.500
Sr 0.000 0.500 0.000
Sr 0.500 0.000 0.000
Hf 0.500 0.500 0.500
Mg 0.000 0.000 0.000

Output
The space group is Pm-3m, No. 221. The polymorph energy (0 for the lowest one) comes out at 62 meV/atom.

---

No. 7
Material: SrHf3Mg
Method: DFT, GGA-PBE
State: relaxed

a = 5.246 Å, b = 5.246 Å, c = 5.246 Å
α = 90.00°, β = 90.00°, γ = 90.00°
Positions (direct):
Sr 0.000 0.000 0.000
Hf 0.000 0.500 0.500
Hf 0.500 0.000 0.500
Hf 0.500 0.500 0.000
Mg 0.500 0.500 0.500

Output
The space group is Pm-3m, No. 221. The polymorph energy (0 for the lowest one) comes out at 0 meV/atom.

---

No. 8
Material: SrHfMg3
Method: DFT, GGA-PBE
State: relaxed

a = 5.422 Å, b = 5.422 Å, c = 5.422 Å
α = 90.00°, β = 90.00°, γ = 90.00°
Positions (direct):
Sr 0.000 0.000 0.000
Hf 0.500 0.500 0.500
Mg 0.000 0.000 0.500
Mg 0.000 0.500 0.000
Mg 0.500 0.000 0.000

Output
The space group is Pm-3m, No. 221. The polymorph energy (0 for the lowest one) comes out at 826 meV/atom.

---

No. 9
Material: SrHf3Mg
Method: DFT, GGA-PBE
State: relaxed

a = 5.184 Å, b = 5.184 Å, c = 5.184 Å
α = 90.00°, β = 90.00°, γ = 90.00°
Positions (direct):
Sr 0.000 0.000 0.000
Hf 0.000 0.000 0.500
Hf 0.000 0.500 0.000
Hf 0.500 0.000 0.000
Mg 0.500 0.500 0.500

Output
The space group is Pm-3m, No. 221. The polymorph energy (0 for the lowest one) comes out at 789 meV/atom.

---

No. 10
Material: SrHfMg14
Method: DFT, GGA-PBE
State: relaxed

a = 6.596 Å, b = 6.596 Å, c = 10.377 Å
α = 90.00°, β = 90.00°, γ = 120.00°
Positions (direct):
Sr 0.000 0.000 0.000
Hf 0.000 0.000 0.500
Mg 0.013 0.507 0.000
Mg 0.168 0.337 0.265
Mg 0.168 0.337 0.735
Mg 0.168 0.832 0.265
Mg 0.168 0.832 0.735
Mg 0.493 0.507 0.000
Mg 0.493 0.987 0.000
Mg 0.501 0.002 0.500
Mg 0.501 0.499 0.500
Mg 0.663 0.832 0.265
Mg 0.663 0.832 0.735
Mg 0.667 0.333 0.244
Mg 0.667 0.333 0.756
Mg 0.998 0.499 0.500

Output
The space group is P-6m2, No. 187. The polymorph energy (0 for the lowest one) comes out at 27 meV/atom.

---

No. 11
Material: SrHf2MgV
Method: DFT, GGA-PBE
State: relaxed

a = 5.073 Å, b = 5.073 Å, c = 5.091 Å
α = 90.00°, β = 90.00°, γ = 90.00°
Positions (direct):
Sr 0.000 0.000 0.000
Hf 0.000 0.500 0.000
Hf 0.500 0.000 0.000
Mg 0.000 0.000 0.500
V 0.500 0.500 0.500

Output
The space group is P4/mmm, No. 123.

---

No. 12
Material: Hf2Mg2Ta
Method: DFT, GGA-PBE
State: relaxed

a = 7.511 Å, b = 7.511 Å, c = 7.511 Å
α = 149.66°, β = 149.66°, γ = 43.44°
Positions (direct):
Hf 0.250 0.750 0.500
Hf 0.750 0.250 0.500
Mg 0.091 0.091 0.000
Mg 0.909 0.909 0.000
Ta 0.500 0.500 0.000

Output
The space group is I4/mmm, No. 139. The polymorph energy (0 for the lowest one) comes out at 331 meV/atom.

---

no.,ΔE_f (eV/atom)
1,0.0537
2,0.8210
3,0.7140
4,0.9052
5,0.7855
6,0.9675
7,1.1559
8,1.5398
9,1.9453
10,0.0805
11,2.3188
12,0.8385